Record 1
YGePdAu2 at its PBEsol-relaxed geometry, computed with meta-GGA SCAN.

Values from the calculation:
- electronic total energy (eV per atom) = -42.681
- theoretical density (g cm⁻³) = 7.75
- symmetry = P4/mmm, No. 123
- calculated formation energy (meV/atom) = 922
- size of the total moment (μB/f.u.) = 0.0

Cell lengths 5.138, 5.138, 5.371 Å; angles 90.00, 90.00, 90.00 degrees
Positions (direct):
Pd1 0.500 0.500 0.500
Ge1 0.000 0.000 0.500
Au1 0.500 0.000 0.000
Y1 0.000 0.000 0.000
Au2 0.000 0.500 0.000

Record 2
Li3GaSn at its PBEsol-relaxed geometry, computed with meta-GGA SCAN.

Values from the calculation:
- electronic total energy (eV per atom) = -11.733
- theoretical density (g cm⁻³) = 2.65
- symmetry = Pm-3m, No. 221
- calculated formation energy (meV/atom) = 154
- size of the total moment (μB/f.u.) = 0.0

Cell lengths 5.079, 5.079, 5.079 Å; angles 90.00, 90.00, 90.00 degrees
Positions (direct):
Li1 0.500 0.000 0.000
Ga1 0.500 0.500 0.500
Li2 0.000 0.500 0.000
Li3 0.000 0.000 0.500
Sn1 0.000 0.000 0.000

Record 3
Na3Sr4La3Ti10O30 at its PBEsol-relaxed geometry, computed with meta-GGA SCAN.

Values from the calculation:
- electronic total energy (eV per atom) = -14.951
- theoretical density (g cm⁻³) = 5.14
- symmetry = P1, No. 1
- size of the total moment (μB/f.u.) = 0.0
- energy relative to the elements, uncorrected (eV/atom) = -3.39

Cell lengths 5.478, 5.484, 19.683 Å; angles 97.86, 97.89, 90.45 degrees
Positions (direct):
O1 0.984 0.485 0.402
O2 0.343 0.377 0.216
O3 0.030 0.528 0.599
Ti1 0.390 0.395 0.797
Na1 0.147 0.643 0.301
O4 0.296 0.298 0.500
Sr1 0.950 0.447 0.899
O5 0.170 0.149 0.813
O6 0.108 0.123 0.302
O7 0.758 0.756 0.011
O8 0.379 0.883 0.204
O9 0.131 0.633 0.798
Ti2 0.500 0.495 0.999
La1 0.652 0.140 0.300
Sr2 0.049 0.544 0.100
O10 0.674 0.176 0.797
Na2 0.339 0.852 0.698
Na3 0.743 0.250 0.501
O11 0.937 0.987 0.416
O12 0.074 0.018 0.582
O13 0.482 0.481 0.899
Ti3 0.195 0.192 0.400
O14 0.477 0.415 0.385
Ti4 0.894 0.899 0.796
O15 0.635 0.656 0.783
O16 0.582 0.081 0.601
O17 0.825 0.329 0.202
O18 0.424 0.924 0.401
Sr3 0.551 0.044 0.099
Ti5 0.098 0.092 0.201
Ti6 0.999 0.995 0.999
Ti7 0.291 0.297 0.598
Ti8 0.790 0.800 0.599
O19 0.309 0.312 0.698
La2 0.247 0.743 0.497
O20 0.519 0.529 0.101
O21 0.918 0.927 0.899
O22 0.690 0.695 0.301
O23 0.251 0.753 0.999
Ti9 0.697 0.691 0.400
O24 0.706 0.716 0.500
O25 0.081 0.081 0.101
O26 0.751 0.253 0.001
O27 0.544 0.582 0.616
Ti10 0.597 0.592 0.201
O28 0.860 0.833 0.189
La3 0.840 0.354 0.697
Sr4 0.448 0.945 0.898
O29 0.246 0.246 0.989
O30 0.897 0.896 0.699

Record 4
AlTc2Hg at its PBEsol-relaxed geometry, computed with meta-GGA SCAN.

Values from the calculation:
- electronic total energy (eV per atom) = -36.270
- excess energy over the best structure of this formula in the dataset (eV/atom) = 0.023
- theoretical density (g cm⁻³) = 11.36
- symmetry = Cmmm, No. 65
- calculated formation energy (meV/atom) = 240
- size of the total moment (μB/f.u.) = 0.0

Cell lengths 2.720, 2.720, 8.841 Å; angles 90.00, 90.00, 108.80 degrees
Positions (direct):
Tc1 0.000 0.000 0.271
Hg1 0.500 0.500 0.000
Tc2 0.000 0.000 0.729
Al1 0.500 0.500 0.500

Record 5
AlTl2Cr at its PBEsol-relaxed geometry, computed with meta-GGA SCAN.

Values from the calculation:
- electronic total energy (eV per atom) = -42.422
- excess energy over the best structure of this formula in the dataset (eV/atom) = 0.002
- theoretical density (g cm⁻³) = 9.55
- symmetry = Amm2, No. 38
- calculated formation energy (meV/atom) = 291
- size of the total moment (μB/f.u.) = 4.1

Cell lengths 3.634, 4.416, 5.587 Å; angles 90.00, 108.98, 90.00 degrees
Positions (direct):
Tl1 0.093 0.000 0.187
Tl2 0.403 0.500 0.806
Al1 0.820 0.000 0.640
Cr1 0.676 0.500 0.353

Record 6
HoNiSn at its PBEsol-relaxed geometry, computed with meta-GGA SCAN.

Values from the calculation:
- electronic total energy (eV per atom) = -34.437
- theoretical density (g cm⁻³) = 10.00
- symmetry = P-62m, No. 189
- calculated formation energy (meV/atom) = -743
- size of the total moment (μB/f.u.) = 0.0

Cell lengths 3.842, 7.161, 7.161 Å; angles 120.00, 90.00, 90.00 degrees
Positions (direct):
Sn1 0.000 0.257 0.000
Ni1 0.000 0.333 0.667
Ni2 0.000 0.667 0.333
Ho1 0.500 0.592 0.000
Ho2 0.500 0.000 0.592
Ni3 0.500 0.000 0.000
Sn2 0.000 0.000 0.257
Sn3 0.000 0.743 0.743
Ho3 0.500 0.408 0.408

Record 7
Mg2TcSe at its PBEsol-relaxed geometry, computed with meta-GGA SCAN.

Values from the calculation:
- electronic total energy (eV per atom) = -16.140
- theoretical density (g cm⁻³) = 5.75
- symmetry = Immm, No. 71
- size of the total moment (μB/f.u.) = 0.0
- energy relative to the elements, uncorrected (eV/atom) = 0.13

Cell lengths 3.464, 4.220, 5.224 Å; angles 113.83, 109.36, 90.00 degrees
Positions (direct):
Mg1 0.248 0.248 0.496
Mg2 0.752 0.752 0.504
Se1 0.500 0.000 0.000
Tc1 0.000 0.500 0.000

Record 8
Li4Mn3V2Cr3O16 at its PBEsol-relaxed geometry, computed with meta-GGA SCAN.

Values from the calculation:
- electronic total energy (eV per atom) = -11.509
- theoretical density (g cm⁻³) = 4.46
- symmetry = Cm, No. 8
- size of the total moment (μB/f.u.) = 21.0
- energy relative to the elements, uncorrected (eV/atom) = -2.43

Cell lengths 5.711, 5.730, 9.272 Å; angles 90.08, 90.00, 119.88 degrees
Positions (direct):
O1 0.668 0.838 0.401
O2 0.003 0.006 0.691
O3 0.832 0.169 0.902
Li1 0.664 0.329 0.605
O4 0.957 0.475 0.161
Li2 0.003 0.005 0.504
O5 0.002 0.004 0.191
Cr1 0.661 0.830 0.787
O6 0.329 0.659 0.895
Cr2 0.169 0.830 0.787
Mn1 0.170 0.341 0.785
V1 0.336 0.672 0.509
O7 0.337 0.169 0.902
Mn2 0.341 0.170 0.286
O8 0.518 0.475 0.161
Cr3 0.831 0.663 0.287
O9 0.479 0.519 0.660
Li3 0.001 0.003 0.003
V2 0.668 0.335 0.008
Mn3 0.830 0.170 0.286
O10 0.665 0.329 0.394
O11 0.832 0.665 0.902
Li4 0.331 0.662 0.105
O12 0.039 0.519 0.660
O13 0.519 0.037 0.160
O14 0.170 0.838 0.401
O15 0.477 0.954 0.658
O16 0.168 0.336 0.402